1.
Below is a relaxed structure of Hg2Sb2Te, with properties calculated at the GGA-PBE level.

Properties
Crystal system: tetragonal
Polymorph energy (0 for the lowest one) (eV per atom): 0.000

Lattice parameters (Å, degrees): 8.548 8.548 3.964 90.00 90.00 90.00
Element x y z (fractional)
Hg  0.120  0.380  0.000
Hg  0.380  0.880  0.000
Hg  0.620  0.120  0.000
Hg  0.880  0.620  0.000
Sb  0.197  0.697  0.500
Sb  0.303  0.197  0.500
Sb  0.697  0.803  0.500
Sb  0.803  0.303  0.500
Te  0.000  0.000  0.500
Te  0.500  0.500  0.500

2.
Below is a relaxed structure of Co2AgPt, with properties calculated at the GGA-PBE level.

Properties
Crystal system: monoclinic

Lattice parameters (Å, degrees): 9.305 2.725 4.591 90.00 106.58 90.00
Element x y z (fractional)
Co  0.000  0.000  0.000
Co  0.210  0.500  0.264
Co  0.500  0.500  0.000
Co  0.710  0.000  0.264
Ag  0.237  0.000  0.781
Ag  0.737  0.500  0.781
Pt  0.460  0.000  0.463
Pt  0.960  0.500  0.463

3.
Below is a relaxed structure of CaSi2Au, with properties calculated at the GGA-PBE level.

Properties
Crystal system: monoclinic

Lattice parameters (Å, degrees): 4.290 4.160 4.997 90.00 90.07 90.00
Element x y z (fractional)
Ca  0.000  0.000  0.000
Si  0.499  0.500  0.768
Si  0.501  0.500  0.232
Au  0.500  0.000  0.500

4.
Below is a relaxed structure of CrInOs, with properties calculated at the GGA-PBE level.

Properties
Crystal system: cubic
Polymorph energy (0 for the lowest one) (eV per atom): 0.373

Lattice parameters (Å, degrees): 5.964 5.964 5.964 90.00 90.00 90.00
Element x y z (fractional)
Cr  0.000  0.000  0.000
Cr  0.000  0.500  0.500
Cr  0.500  0.000  0.500
Cr  0.500  0.500  0.000
In  0.250  0.250  0.250
In  0.250  0.750  0.750
In  0.750  0.250  0.750
In  0.750  0.750  0.250
Os  0.250  0.250  0.750
Os  0.250  0.750  0.250
Os  0.750  0.250  0.250
Os  0.750  0.750  0.750

5.
Below is a relaxed structure of Zr2HgBr, with properties calculated at the GGA-PBE level.

Properties
Crystal system: tetragonal
Polymorph energy (0 for the lowest one) (eV per atom): 0.062

Lattice parameters (Å, degrees): 3.270 3.270 9.463 90.00 90.00 90.00
Element x y z (fractional)
Zr  0.000  0.000  0.000
Zr  0.500  0.500  0.239
Hg  0.500  0.500  0.784
Br  0.000  0.000  0.426

6.
Below is a relaxed structure of KScCu2, with properties calculated at the GGA-PBE level.

Properties
Crystal system: cubic
Polymorph energy (0 for the lowest one) (eV per atom): 0.412

Lattice parameters (Å, degrees): 6.990 6.990 6.990 90.00 90.00 90.00
Element x y z (fractional)
K  0.000  0.000  0.000
K  0.000  0.500  0.500
K  0.500  0.000  0.500
K  0.500  0.500  0.000
Sc  0.000  0.000  0.500
Sc  0.000  0.500  0.000
Sc  0.500  0.000  0.000
Sc  0.500  0.500  0.500
Cu  0.250  0.250  0.250
Cu  0.250  0.250  0.750
Cu  0.250  0.750  0.250
Cu  0.250  0.750  0.750
Cu  0.750  0.250  0.250
Cu  0.750  0.250  0.750
Cu  0.750  0.750  0.250
Cu  0.750  0.750  0.750

7.
Below is a relaxed structure of Cs2KAsF, with properties calculated at the GGA-PBE level.

Properties
Crystal system: tetragonal

Lattice parameters (Å, degrees): 5.892 5.892 5.274 90.00 90.00 90.00
Element x y z (fractional)
Cs  0.000  0.500  0.000
Cs  0.500  0.000  0.000
K  0.000  0.000  0.500
As  0.500  0.500  0.500
F  0.000  0.000  0.000

8.
Below is a relaxed structure of LiY2Re, with properties calculated at the GGA-PBE level.

Properties
Crystal system: tetragonal

Lattice parameters (Å, degrees): 4.296 4.296 9.350 90.00 90.00 90.00
Element x y z (fractional)
Li  0.000  0.000  0.000
Li  0.500  0.500  0.500
Y  0.000  0.000  0.500
Y  0.000  0.500  0.250
Y  0.500  0.000  0.750
Y  0.500  0.500  0.000
Re  0.000  0.500  0.750
Re  0.500  0.000  0.250

9.
Below is a relaxed structure of Pd2CS, with properties calculated at the GGA-PBE level.

Properties
Crystal system: tetragonal
Polymorph energy (0 for the lowest one) (eV per atom): 0.000

Lattice parameters (Å, degrees): 4.783 4.783 11.268 90.00 90.00 90.00
Element x y z (fractional)
Pd  0.171  0.250  0.125
Pd  0.250  0.671  0.375
Pd  0.250  0.829  0.875
Pd  0.329  0.250  0.625
Pd  0.671  0.750  0.625
Pd  0.750  0.171  0.875
Pd  0.750  0.329  0.375
Pd  0.829  0.750  0.125
C  0.000  0.000  0.000
C  0.000  0.500  0.250
C  0.500  0.000  0.750
C  0.500  0.500  0.500
S  0.000  0.000  0.500
S  0.000  0.500  0.750
S  0.500  0.000  0.250
S  0.500  0.500  0.000

10.
Below is a relaxed structure of LaTbTh2Se4, with properties calculated at the GGA-PBE level.

Properties
Crystal system: monoclinic

Lattice parameters (Å, degrees): 7.184 4.197 7.383 90.00 109.27 90.00
Element x y z (fractional)
La  0.000  0.000  0.000
Tb  0.500  0.500  0.000
Th  0.000  0.500  0.500
Th  0.500  0.000  0.500
Se  0.257  0.500  0.248
Se  0.260  0.000  0.757
Se  0.740  0.000  0.243
Se  0.743  0.500  0.752

11.
Below is a relaxed structure of TaCrOs2, with properties calculated at the GGA-PBE level.

Properties
Crystal system: tetragonal

Lattice parameters (Å, degrees): 2.799 2.799 7.480 90.00 90.00 90.00
Element x y z (fractional)
Ta  0.000  0.000  0.000
Cr  0.000  0.000  0.500
Os  0.500  0.500  0.281
Os  0.500  0.500  0.719

12.
Below is a relaxed structure of CaHoSn2O6, with properties calculated at the GGA-PBE level.

Properties
Crystal system: orthorhombic

Lattice parameters (Å, degrees): 8.178 5.894 5.606 90.00 90.00 90.00
Element x y z (fractional)
Ca  0.000  0.201  0.000
Ca  0.500  0.799  0.500
Ho  0.000  0.682  0.538
Ho  0.500  0.318  0.038
Sn  0.250  0.245  0.513
Sn  0.250  0.755  0.013
Sn  0.750  0.245  0.513
Sn  0.750  0.755  0.013
O  0.000  0.315  0.393
O  0.000  0.806  0.156
O  0.180  0.460  0.805
O  0.183  0.934  0.691
O  0.317  0.066  0.191
O  0.320  0.540  0.305
O  0.500  0.194  0.656
O  0.500  0.685  0.893
O  0.680  0.540  0.305
O  0.683  0.066  0.191
O  0.817  0.934  0.691
O  0.820  0.460  0.805

13.
Below is a relaxed structure of Rb2NpAl2O6, with properties calculated at the GGA-PBE level.

Properties
Crystal system: trigonal

Lattice parameters (Å, degrees): 7.066 7.066 7.066 49.60 49.60 49.60
Element x y z (fractional)
Rb  0.220  0.220  0.220
Rb  0.780  0.780  0.780
Np  0.000  0.000  0.000
Al  0.428  0.428  0.428
Al  0.572  0.572  0.572
O  0.233  0.233  0.731
O  0.233  0.731  0.233
O  0.269  0.767  0.767
O  0.731  0.233  0.233
O  0.767  0.269  0.767
O  0.767  0.767  0.269

14.
Below is a relaxed structure of ThScTi2, with properties calculated at the GGA-PBE level.

Properties
Crystal system: cubic
Polymorph energy (0 for the lowest one) (eV per atom): 0.025

Lattice parameters (Å, degrees): 7.058 7.058 7.058 90.00 90.00 90.00
Element x y z (fractional)
Th  0.000  0.000  0.000
Th  0.000  0.500  0.500
Th  0.500  0.000  0.500
Th  0.500  0.500  0.000
Sc  0.000  0.000  0.500
Sc  0.000  0.500  0.000
Sc  0.500  0.000  0.000
Sc  0.500  0.500  0.500
Ti  0.250  0.250  0.250
Ti  0.250  0.250  0.750
Ti  0.250  0.750  0.250
Ti  0.250  0.750  0.750
Ti  0.750  0.250  0.250
Ti  0.750  0.250  0.750
Ti  0.750  0.750  0.250
Ti  0.750  0.750  0.750

15.
Below is a relaxed structure of Gd2ErRh, with properties calculated at the GGA-PBE level.

Properties
Crystal system: tetragonal
Polymorph energy (0 for the lowest one) (eV per atom): 0.000

Lattice parameters (Å, degrees): 3.541 3.541 8.526 90.00 90.00 90.00
Element x y z (fractional)
Gd  0.000  0.000  0.191
Gd  0.000  0.000  0.809
Er  0.500  0.500  0.500
Rh  0.500  0.500  0.000

16.
Below is a relaxed structure of PmNd4Sm4, with properties calculated at the GGA-PBE level.

Properties
Crystal system: tetragonal

Lattice parameters (Å, degrees): 8.172 8.172 8.172 95.74 95.74 143.12
Element x y z (fractional)
Pm  0.000  0.000  0.000
Nd  0.333  0.333  0.666
Nd  0.333  0.667  0.000
Nd  0.667  0.333  0.000
Nd  0.667  0.667  0.334
Sm  0.000  0.334  0.334
Sm  0.000  0.666  0.666
Sm  0.334  0.000  0.334
Sm  0.666  0.000  0.666

17.
Below is a relaxed structure of SrSmAg2O4, with properties calculated at the GGA-PBE level.

Properties
Crystal system: tetragonal

Lattice parameters (Å, degrees): 6.123 6.123 6.864 90.00 90.00 90.00
Element x y z (fractional)
Sr  0.000  0.000  0.000
Sr  0.500  0.500  0.500
Sm  0.000  0.000  0.500
Sm  0.500  0.500  0.000
Ag  0.000  0.500  0.250
Ag  0.000  0.500  0.750
Ag  0.500  0.000  0.250
Ag  0.500  0.000  0.750
O  0.197  0.197  0.721
O  0.197  0.803  0.279
O  0.303  0.303  0.221
O  0.303  0.697  0.779
O  0.697  0.303  0.779
O  0.697  0.697  0.221
O  0.803  0.197  0.279
O  0.803  0.803  0.721

18.
Below is a relaxed structure of Fe3AsOs, with properties calculated at the GGA-PBE level.

Properties
Crystal system: cubic
Polymorph energy (0 for the lowest one) (eV per atom): 0.002

Lattice parameters (Å, degrees): 4.178 4.178 4.178 90.00 90.00 90.00
Element x y z (fractional)
Fe  0.000  0.000  0.500
Fe  0.000  0.500  0.000
Fe  0.500  0.000  0.000
As  0.000  0.000  0.000
Os  0.500  0.500  0.500

19.
Below is a relaxed structure of AlPt2Au2, with properties calculated at the GGA-PBE level.

Properties
Crystal system: tetragonal

Lattice parameters (Å, degrees): 6.425 6.425 4.262 90.00 90.00 90.00
Element x y z (fractional)
Al  0.000  0.000  0.000
Al  0.500  0.500  0.000
Pt  0.144  0.356  0.000
Pt  0.356  0.856  0.000
Pt  0.644  0.144  0.000
Pt  0.856  0.644  0.000
Au  0.163  0.663  0.500
Au  0.337  0.163  0.500
Au  0.663  0.837  0.500
Au  0.837  0.337  0.500

20.
Below is a relaxed structure of LiSiB, with properties calculated at the GGA-PBE level.

Properties
Crystal system: orthorhombic

Lattice parameters (Å, degrees): 4.254 13.354 2.668 90.00 90.00 90.00
Element x y z (fractional)
Li  0.000  0.099  0.000
Li  0.000  0.901  0.000
Li  0.500  0.401  0.000
Li  0.500  0.599  0.000
Si  0.000  0.296  0.500
Si  0.000  0.704  0.500
Si  0.500  0.204  0.500
Si  0.500  0.796  0.500
B  0.000  0.442  0.500
B  0.000  0.558  0.500
B  0.500  0.058  0.500
B  0.500  0.942  0.500

| no. | electronic total energy (eV/atom) | total magnetization (μB/cell) |
| --- | --- | --- |
| 1 | -2.247 | 0.000 |
| 2 | -5.612 | 7.900 |
| 3 | -4.377 | 0.000 |
| 4 | -7.242 | 4.365 |
| 5 | -5.095 | 0.000 |
| 6 | -3.410 | 0.000 |
| 7 | -3.024 | 1.016 |
| 8 | -6.455 | 0.000 |
| 9 | -5.419 | 0.000 |
| 10 | -6.489 | 0.000 |
| 11 | -11.016 | 0.000 |
| 12 | -6.728 | 0.000 |
| 13 | -7.162 | 1.019 |
| 14 | -7.212 | 0.746 |
| 15 | -10.376 | 14.996 |
| 16 | -4.731 | 0.000 |
| 17 | -5.701 | 0.000 |
| 18 | -6.793 | 0.004 |
| 19 | -4.780 | 0.000 |
| 20 | -4.414 | 0.000 |